This record from Alexandria describes LiErHgPd after structural relaxation. The functional is GGA-PBE.

Computed properties:
The density of states at the Fermi level comes out at 2.0 states/eV per cell. The calculated formation energy is -522 meV/atom. As for the total energy: -3.51 eV per atom.

Unit cell a=4.837 b=4.837 c=4.837 alpha=60.00 beta=60.00 gamma=60.00
Atoms (fractional coordinates):
Li 0.000 0.000 0.000
Pd 0.250 0.250 0.250
Er 0.500 0.500 0.500
Hg 0.750 0.750 0.750